(1)
NdSeO, relaxed, DFT GGA-PBEsol; VASP energy = -7.277 eV per atom; total moment = 0.00 μB/cell; D(E_F) = 0.11 states/eV per cell; formation energy from raw total energies = -2522 meV per atom
1.0
5.920 0.000 0.000
0.000 5.926 0.000
0.000 -2.963 6.612
Se Nd O
4 4 4
Cartesian
2.107 3.814 0.000
0.853 0.851 0.000
3.813 2.112 0.000
5.067 5.075 0.000
2.960 2.963 4.402
0.000 2.963 2.209
2.960 0.000 2.209
0.000 0.000 4.402
4.440 4.412 3.306
1.480 1.514 3.306
1.480 -1.449 3.306
4.440 1.449 3.306


(2)
Nd7VSe8O4, relaxed, DFT GGA-PBEsol; VASP energy = -7.189 eV per atom; total moment = 4.01 μB/cell; D(E_F) = 12.15 states/eV per cell; formation energy from raw total energies = -2309 meV per atom
1.0
3.989 0.000 0.000
0.000 14.267 0.000
0.000 0.000 15.548
Nd Se O V
14 16 8 2
Cartesian
1.994 11.137 10.314
1.994 3.130 5.234
1.994 0.081 2.941
0.000 7.133 0.000
1.994 4.004 13.008
0.000 0.000 7.774
1.994 14.186 12.607
1.994 7.214 4.833
0.000 4.146 9.593
1.994 10.263 2.540
1.994 7.052 10.715
0.000 11.279 13.729
0.000 10.121 5.955
0.000 2.987 1.819
1.994 1.669 15.065
1.994 8.803 8.258
0.000 9.351 11.436
1.994 5.041 0.427
0.000 12.049 3.662
0.000 2.218 11.886
1.994 5.464 7.291
1.994 12.597 0.483
1.994 12.174 7.347
0.000 0.981 5.079
0.000 13.285 10.469
1.994 2.093 8.201
0.000 4.915 4.112
0.000 6.152 12.853
0.000 8.114 2.695
1.994 9.226 15.121
0.000 6.500 9.599
1.994 2.463 2.924
0.000 0.633 1.825
0.000 13.634 13.723
0.000 7.766 5.949
1.994 9.597 4.850
1.994 4.670 10.698
1.994 11.803 12.624
0.000 7.133 7.774
0.000 0.000 0.000


(3)
Nd2SiTeO4, relaxed, DFT GGA-PBEsol; excess energy over the best structure of this formula in the dataset = 0.223 eV/f.u.; VASP energy = -7.971 eV per atom; total moment = 0.00 μB/cell; D(E_F) = 0.00 states/eV per cell; formation energy from raw total energies = -2896 meV per atom
1.0
6.401 0.000 0.000
0.000 8.685 0.041
0.000 -0.863 9.741
Nd O Te Si
8 16 4 4
Cartesian
5.436 1.890 8.734
1.250 5.208 6.382
5.151 2.614 3.400
0.965 5.933 1.048
1.951 0.865 6.361
2.236 1.590 1.027
4.450 6.957 3.421
4.166 6.232 8.755
1.977 7.984 0.239
3.261 5.826 1.542
2.313 7.248 7.334
0.060 6.339 8.261
6.341 1.483 1.521
4.060 3.142 1.231
5.513 4.917 2.469
5.542 7.485 1.252
2.342 4.680 8.551
0.888 2.906 7.313
5.178 4.181 9.564
4.088 0.574 2.449
0.859 0.338 8.530
3.140 1.996 8.240
4.424 -0.162 9.543
1.224 3.642 0.218
4.553 4.831 5.814
1.353 7.334 3.988
5.048 0.488 5.794
1.848 2.992 3.968
5.182 0.389 1.225
1.981 3.090 8.536
4.420 4.732 1.246
1.219 7.433 8.557


(4)
Nd2SiTeO4, relaxed, DFT GGA-PBEsol; excess energy over the best structure of this formula in the dataset = 0.000 eV/f.u.; VASP energy = -7.999 eV per atom; total moment = 0.00 μB/cell; D(E_F) = 0.00 states/eV per cell; formation energy from raw total energies = -2924 meV per atom
1.0
6.292 0.000 0.000
0.000 7.160 0.000
0.000 0.000 11.131
O Nd Si Te
16 8 4 4
Cartesian
5.974 1.657 9.838
0.317 5.503 4.272
1.697 3.039 10.723
1.697 0.541 0.407
4.595 6.619 5.973
5.974 1.657 6.858
4.595 6.619 10.723
0.317 5.237 6.858
1.697 0.541 5.158
0.317 5.503 1.293
0.317 5.237 9.838
4.595 4.121 0.407
1.697 3.039 5.973
5.974 1.923 1.293
4.595 4.121 5.158
5.974 1.923 4.272
5.575 3.852 2.783
2.448 5.370 0.000
5.575 6.888 8.348
3.844 1.790 0.000
0.717 3.308 8.348
0.717 0.272 2.783
3.844 1.790 5.565
2.448 5.370 5.565
0.712 1.790 5.565
0.712 1.790 0.000
5.580 5.370 5.565
5.580 5.370 0.000
2.519 0.543 8.348
3.773 4.123 8.348
3.773 6.618 2.783
2.519 3.037 2.783